Density functional theory data (PBE) for Nd2Sc2CBr2Cl3 after structural relaxation.

Cell and atoms, written as POSCAR:
```
Nd2Sc2CBr2Cl3
1.0
8.790 -1.837 0.000
8.790 1.837 0.000
-1.968 0.000 7.451
Br C Cl Nd Sc
2 1 3 2 2
direct
0.838 0.838 0.197
0.162 0.162 0.803
0.500 0.500 0.000
0.150 0.150 0.363
0.500 0.500 0.500
0.850 0.850 0.637
0.646 0.646 0.090
0.354 0.354 0.910
0.000 0.000 0.199
0.000 0.000 0.801
```

Values from the calculation:
- space-group type = C2/m (12)
- polymorph energy (0 for the lowest one) (eV/atom) = 0.0441
- size of the total moment (μB per cell) = 0.0

=====

Density functional theory data (PBE) for Nd2Sc2CBr2Cl3 after structural relaxation.

Cell and atoms, written as POSCAR:
```
Nd2Sc2CBr2Cl3
1.0
8.625 -1.845 0.000
8.625 1.845 0.000
-1.923 0.000 7.489
Br C Cl Nd Sc
2 1 3 2 2
direct
0.158 0.158 0.377
0.842 0.842 0.623
0.500 0.500 0.000
0.840 0.840 0.185
0.500 0.500 0.500
0.160 0.160 0.815
0.648 0.648 0.083
0.352 0.352 0.917
0.999 0.999 0.198
0.001 0.001 0.802
```

Values from the calculation:
- space-group type = C2/m (12)
- polymorph energy (0 for the lowest one) (eV/atom) = 0.0552
- size of the total moment (μB per cell) = 0.0

=====

Density functional theory data (PBE) for Nd2Sm2CBrCl4 after structural relaxation.

Cell and atoms, written as POSCAR:
```
Nd2Sm2CBrCl4
1.0
8.786 -1.951 0.000
8.786 1.951 0.000
-2.109 0.000 8.132
Br C Cl Nd Sm
1 1 4 2 2
direct
0.500 0.500 0.500
0.500 0.500 0.000
0.828 0.828 0.142
0.166 0.166 0.325
0.834 0.834 0.675
0.172 0.172 0.858
0.999 0.999 0.206
0.001 0.001 0.794
0.645 0.645 0.082
0.355 0.355 0.918
```

Values from the calculation:
- space-group type = C2/m (12)
- size of the total moment (μB per cell) = 0.0
- calculated total energy (eV per atom) = -5.372

=====

Density functional theory data (PBE) for Nd2Sm2CBr4Cl after structural relaxation.

Cell and atoms, written as POSCAR:
```
Nd2Sm2CBr4Cl
1.0
-3.669 6.577 -5.515
-6.530 3.900 -5.412
-2.069 2.500 7.498
Br C Cl Nd Sm
4 1 1 2 2
direct
0.828 0.828 0.169
0.166 0.166 0.350
0.834 0.834 0.650
0.172 0.172 0.831
0.500 0.500 0.000
0.500 0.500 0.500
0.999 0.999 0.213
0.001 0.001 0.787
0.640 0.640 0.078
0.360 0.360 0.922
```

Values from the calculation:
- space-group type = C2/m (12)
- polymorph energy (0 for the lowest one) (eV/atom) = 0.0000
- size of the total moment (μB per cell) = 0.1

=====

Density functional theory data (PBE) for Nd2Sm2C2Br2Cl3 after structural relaxation.

Cell and atoms, written as POSCAR:
```
Nd2Sm2C2Br2Cl3
1.0
-9.418 0.782 -2.705
-9.766 -0.817 0.765
1.709 6.947 3.372
Br C Cl Nd Sm
2 2 3 2 2
direct
0.834 0.834 0.180
0.166 0.166 0.820
0.538 0.538 0.024
0.462 0.462 0.976
0.156 0.156 0.367
0.500 0.500 0.500
0.844 0.844 0.633
0.659 0.659 0.108
0.341 0.341 0.892
0.002 0.002 0.210
0.998 0.998 0.790
```

Values from the calculation:
- space-group type = C2/m (12)
- polymorph energy (0 for the lowest one) (eV/atom) = 0.0200
- size of the total moment (μB per cell) = 0.0

=====

Density functional theory data (PBE) for Nd2Sm2CBr4Cl after structural relaxation.

Cell and atoms, written as POSCAR:
```
Nd2Sm2CBr4Cl
1.0
-8.437 -4.010 0.026
-6.747 -5.700 -3.041
4.349 -4.710 4.992
Br C Cl Nd Sm
4 1 1 2 2
direct
0.831 0.831 0.181
0.163 0.163 0.360
0.837 0.837 0.640
0.169 0.169 0.819
0.500 0.500 0.000
0.500 0.500 0.500
0.642 0.642 0.080
0.358 0.358 0.920
0.999 0.999 0.211
0.001 0.001 0.789
```

Values from the calculation:
- space-group type = C2/m (12)
- polymorph energy (0 for the lowest one) (eV/atom) = 0.0029
- size of the total moment (μB per cell) = 0.2

=====

What did the fifth record say?
Density functional theory data (PBE) for Nd2Sm2C2Br2Cl3 after structural relaxation.

Cell and atoms, written as POSCAR:
```
Nd2Sm2C2Br2Cl3
1.0
-9.418 0.782 -2.705
-9.766 -0.817 0.765
1.709 6.947 3.372
Br C Cl Nd Sm
2 2 3 2 2
direct
0.834 0.834 0.180
0.166 0.166 0.820
0.538 0.538 0.024
0.462 0.462 0.976
0.156 0.156 0.367
0.500 0.500 0.500
0.844 0.844 0.633
0.659 0.659 0.108
0.341 0.341 0.892
0.002 0.002 0.210
0.998 0.998 0.790
```

Values from the calculation:
- space-group type = C2/m (12)
- polymorph energy (0 for the lowest one) (eV/atom) = 0.0200
- size of the total moment (μB per cell) = 0.0